[1]
Na4AcDy3Te8: relaxed, PBE-GGA.

Computed properties:
Crystal system   trigonal
E_form (uncorrected)   -21.2 eV/f.u.

Cell and atoms, written as CIF:
```
data_Na4AcDy3Te8
_cell_length_a 9.196
_cell_length_b 9.196
_cell_length_c 9.196
_cell_angle_alpha 58.88
_cell_angle_beta 58.88
_cell_angle_gamma 58.88
_symmetry_space_group_name_H-M 'P 1'
_symmetry_Int_Tables_number 1
loop_
_symmetry_equiv_pos_as_xyz
'x,y,z'
loop_
_atom_site_label
_atom_site_fract_x
_atom_site_fract_y
_atom_site_fract_z
_atom_site_occupancy
Na1 0.000 0.000 0.000 1
Na2 0.000 0.500 0.500 1
Na3 0.500 0.000 0.500 1
Na4 0.500 0.500 0.000 1
Ac1 0.500 0.500 0.500 1
Dy1 0.000 0.000 0.500 1
Dy2 0.000 0.500 0.000 1
Dy3 0.500 0.000 0.000 1
Te1 0.230 0.754 0.754 1
Te2 0.243 0.243 0.243 1
Te3 0.246 0.246 0.770 1
Te4 0.246 0.770 0.246 1
Te5 0.754 0.230 0.754 1
Te6 0.754 0.754 0.230 1
Te7 0.757 0.757 0.757 1
Te8 0.770 0.246 0.246 1
```

[2]
NaAc3Dy3Te8: relaxed, PBE-GGA.

Computed properties:
Crystal system   trigonal
E_form (uncorrected)   -20.9 eV/f.u.

Cell and atoms, written as CIF:
```
data_NaAc3Dy3Te8
_cell_length_a 9.113
_cell_length_b 9.113
_cell_length_c 9.113
_cell_angle_alpha 59.26
_cell_angle_beta 59.26
_cell_angle_gamma 59.26
_symmetry_space_group_name_H-M 'P 1'
_symmetry_Int_Tables_number 1
loop_
_symmetry_equiv_pos_as_xyz
'x,y,z'
loop_
_atom_site_label
_atom_site_fract_x
_atom_site_fract_y
_atom_site_fract_z
_atom_site_occupancy
Na1 0.000 0.000 0.000 1
Ac1 0.000 0.000 0.500 1
Ac2 0.000 0.500 0.000 1
Ac3 0.500 0.000 0.000 1
Dy1 0.000 0.500 0.500 1
Dy2 0.500 0.000 0.500 1
Dy3 0.500 0.500 0.000 1
Te1 0.253 0.253 0.730 1
Te2 0.253 0.730 0.253 1
Te3 0.259 0.259 0.259 1
Te4 0.270 0.747 0.747 1
Te5 0.730 0.253 0.253 1
Te6 0.741 0.741 0.741 1
Te7 0.747 0.270 0.747 1
Te8 0.747 0.747 0.270 1
```

[3]
Na2AcDyTe4: relaxed, PBE-GGA.

Computed properties:
Crystal system   monoclinic
E_form (uncorrected)   -10.7 eV/f.u.

Cell and atoms, written as CIF:
```
data_Na2AcDyTe4
_cell_length_a 7.991
_cell_length_b 4.603
_cell_length_c 8.029
_cell_angle_alpha 90.00
_cell_angle_beta 109.37
_cell_angle_gamma 90.00
_symmetry_space_group_name_H-M 'P 1'
_symmetry_Int_Tables_number 1
loop_
_symmetry_equiv_pos_as_xyz
'x,y,z'
loop_
_atom_site_label
_atom_site_fract_x
_atom_site_fract_y
_atom_site_fract_z
_atom_site_occupancy
Na1 0.000 0.000 0.000 1
Na2 0.500 0.500 0.000 1
Ac1 0.000 0.500 0.500 1
Dy1 0.500 0.000 0.500 1
Te1 0.266 0.000 0.744 1
Te2 0.270 0.500 0.265 1
Te3 0.730 0.500 0.735 1
Te4 0.734 0.000 0.256 1
```

[4]
NaAc3Dy2Te6: relaxed, PBE-GGA.

Computed properties:
Crystal system   monoclinic
E_form (uncorrected)   -16.6 eV/f.u.

Cell and atoms, written as CIF:
```
data_NaAc3Dy2Te6
_cell_length_a 10.232
_cell_length_b 10.232
_cell_length_c 9.160
_cell_angle_alpha 102.63
_cell_angle_beta 102.63
_cell_angle_gamma 25.77
_symmetry_space_group_name_H-M 'P 1'
_symmetry_Int_Tables_number 1
loop_
_symmetry_equiv_pos_as_xyz
'x,y,z'
loop_
_atom_site_label
_atom_site_fract_x
_atom_site_fract_y
_atom_site_fract_z
_atom_site_occupancy
Na1 0.000 0.000 0.000 1
Ac1 0.000 0.000 0.500 1
Ac2 0.338 0.338 0.170 1
Ac3 0.662 0.662 0.830 1
Dy1 0.332 0.332 0.657 1
Dy2 0.668 0.668 0.343 1
Te1 0.166 0.166 0.103 1
Te2 0.172 0.172 0.573 1
Te3 0.491 0.491 0.759 1
Te4 0.509 0.509 0.241 1
Te5 0.828 0.828 0.427 1
Te6 0.834 0.834 0.897 1
```

What did we get for DFT total energy? Answer: -4.3435 -4.9014 -4.3292 -4.8598 eV/atom, in the order shown.
What did we get for calculated volume? Answer: 33.49 35.07 34.82 33.86 A^3/atom, in the order shown.
What did we get for total magnetization? Answer: 0.000 0.000 0.000 0.000 μB/cell, in the order shown.